A plane-wave DFT calculation with PBE was carried out for a relaxed Th2Ge4Pd3Pt crystal.

- V (Å³/atom) = 19.311
- DOS at the Fermi energy (states/eV/f.u.) = 3.9
- energy of formation (eV per formula unit) = -8.3
- uncorrected energy (eV/atom) = -6.3264

a b c (Å): 4.3863 4.3863 10.0372
angles (deg): 90.00 90.00 90.00
Space group P-4m2 (No. 115)
Asymmetric unit:
Th: 0.0000 0.5000 0.2463 x2
Ge: 0.0000 0.0000 0.5000 x1
Ge: 0.0000 0.5000 0.8675 x2
Ge: 0.5000 0.5000 0.5000 x1
Pd: 0.0000 0.0000 0.0000 x1
Pd: 0.0000 0.5000 0.6236 x2
Pt: 0.5000 0.5000 0.0000 x1